(1)
Density functional theory data (PBE) for an optimized crystal structure of La7TbDy3.

a b c (Å): 7.0951 10.2492 12.0772
angles (deg): 103.94 98.59 109.05
Closest atoms and distances in Å follow each position.
Positions (direct):
La  0.0000  0.0000  0.0000  3 Dy 3.33-3.63, 4 La 3.38-3.65, 1 Tb 3.60
La  0.0285  0.8609  0.2687  2 Tb 3.47-3.66, 5 La 3.50-3.89, 2 Dy 3.68-3.81
La  0.1586  0.4918  0.7343  5 La 3.50-3.82, 2 Dy 3.53-3.75, 1 Tb 3.53
La  0.1817  0.3493  0.9786  3 Dy 3.28-3.58, 3 La 3.48-3.60, 1 Tb 3.56
La  0.2183  0.0802  0.7421  2 Dy 3.30-3.55, 4 La 3.49-3.57, 1 Tb 3.69
La  0.3022  0.7971  0.5429  5 La 3.45-3.78, 1 Tb 3.51, 2 Dy 3.62-3.84
La  0.3815  0.4689  0.4946  6 La 3.38-3.77, 4 Dy 3.40-3.69, 1 Tb 3.62
La  0.4784  0.9685  0.9468  5 La 3.49-3.87, 2 Dy 3.56-3.59, 1 Tb 3.62
La  0.5424  0.9274  0.2503  4 Dy 3.44-3.65, 5 La 3.48-3.77, 2 Tb 3.51-3.70
La  0.6405  0.4006  0.7742  3 Dy 3.37-3.58, 2 Tb 3.45-3.70, 3 La 3.54-3.68
La  0.7202  0.3871  0.0789  4 La 3.39-3.76, 2 Dy 3.46-3.61, 1 Tb 3.68
La  0.7706  0.8093  0.4896  4 Dy 3.33-3.69, 4 La 3.45-3.70
La  0.8474  0.4754  0.4598  6 La 3.38-3.77, 2 Dy 3.55-3.74
La  0.9468  0.2242  0.2389  2 Dy 3.30-3.39, 4 La 3.38-3.56
Tb  0.0948  0.6769  0.0047  8 La 3.47-3.70, 4 Dy 3.52-3.76
Tb  0.4653  0.1405  0.5011  7 La 3.45-3.81, 4 Dy 3.46-3.57
Dy  0.3396  0.5724  0.2482  4 La 3.28-3.58
Dy  0.4083  0.2180  0.2376  6 La 3.30-3.60, 1 Tb 3.46
Dy  0.5972  0.6754  0.0042  2 Tb 3.52-3.57, 8 La 3.56-3.75, 2 Dy 3.78-3.87
Dy  0.7573  0.0897  0.7427  6 La 3.30-3.69, 1 Tb 3.57, 1 Dy 3.59
Dy  0.8098  0.7348  0.7440  4 La 3.33-3.69
Dy  0.9744  0.1614  0.5030  7 La 3.37-3.74, 2 Tb 3.54-3.56, 1 Dy 3.59

Formation energy from the elements: 110 meV/atom
Space-group type: P1, No. 1
D(E_F): 32.9 states/eV per cell
E above lowest polymorph: 0.0 kJ per mole of atoms



(2)
Density functional theory data (PBE) for an optimized crystal structure of SmTlCd.

a b c (Å): 9.2487 9.2487 9.2487
angles (deg): 159.85 159.85 28.65
Closest atoms and distances in Å follow each position.
Positions (direct):
Sm  0.0000  0.0000  0.0000  1 Cd 3.18, 1 Tl 3.23, 4 Sm 3.24
Tl  0.1804  0.1804  0.0000  1 Sm 3.23, 4 Tl 3.24, 4 Cd 3.43
Cd  0.8228  0.8228  0.0000  1 Sm 3.18, 4 Cd 3.24, 4 Tl 3.43

Formation energy from the elements: 289 meV/atom
Space-group type: I4mm, No. 107
D(E_F): 2.6 states/eV per cell



(3)
Density functional theory data (PBE) for an optimized crystal structure of KCuPSe4.

a b c (Å): 6.3076 6.7921 9.2171
angles (deg): 90.00 107.87 90.00
Closest atoms and distances in Å follow each position.
Positions (direct):
K  0.2469  0.2500  0.4148  5 Se 3.35-3.62
K  0.7531  0.7500  0.5852  5 Se 3.35-3.62
Cu  0.3744  0.7500  0.0119  5 Se 2.43-2.56
Cu  0.6256  0.2500  0.9881  5 Se 2.43-2.56
P  0.1177  0.2500  0.7977  4 Se 2.18-2.28
P  0.8823  0.7500  0.2023  4 Se 2.18-2.28
Se  0.0197  0.2500  0.0103  1 P 2.23, 1 Cu 2.43
Se  0.1539  0.7500  0.4167  1 P 2.18
Se  0.3709  0.0058  0.8078  1 P 2.28, 2 Cu 2.54-2.56
Se  0.3709  0.4942  0.8078  1 P 2.28, 2 Cu 2.54-2.56
Se  0.6291  0.5058  0.1922  1 P 2.28, 2 Cu 2.54-2.56
Se  0.6291  0.9942  0.1922  1 P 2.28, 2 Cu 2.54-2.56
Se  0.8461  0.2500  0.5833  1 P 2.18
Se  0.9803  0.7500  0.9897  1 P 2.23, 1 Cu 2.43

Space-group type: P2_1/m, No. 11
Uncorrected formation energy: -2.36 eV/f.u.
D(E_F): 7.8 states/eV per cell



(4)
Density functional theory data (PBE) for an optimized crystal structure of Cd2SbBr.

a b c (Å): 10.2080 10.2080 10.2080
angles (deg): 20.46 20.46 20.46
Closest atoms and distances in Å follow each position.
Positions (direct):
Cd  0.0000  0.0000  0.0000  3 Cd 3.06, 3 Sb 3.07
Cd  0.2588  0.2588  0.2588  3 Br 2.79, 3 Cd 3.06
Sb  0.7417  0.7417  0.7417  3 Cd 3.07
Br  0.5305  0.5305  0.5305  3 Cd 2.79

Space-group type: R3m, No. 160
Uncorrected formation energy: -0.43 eV/f.u.
D(E_F): 2.4 states/eV per cell
E above lowest polymorph: 21.1 kJ per mole of atoms



(5)
Density functional theory data (PBE) for an optimized crystal structure of LiLaRe2.

a b c (Å): 2.6833 4.5000 6.3425
angles (deg): 90.00 90.00 90.00
Closest atoms and distances in Å follow each position.
Positions (direct):
Li  0.0000  0.0000  0.0000  2 Li 2.68, 8 Re 2.88
La  0.0000  0.0000  0.5000  2 La 2.68
Re  0.5000  0.5000  0.1879  1 Re 2.38
Re  0.5000  0.5000  0.8121  1 Re 2.38

Formation energy from the elements: 590 meV/atom
Space-group type: Pmmm, No. 47
D(E_F): 2.3 states/eV per cell
E above lowest polymorph: 34.1 kJ per mole of atoms



(6)
Density functional theory data (PBE) for an optimized crystal structure of LaMgNi.

a b c (Å): 6.4272 6.4272 6.4272
angles (deg): 149.85 149.85 43.16
Closest atoms and distances in Å follow each position.
Positions (direct):
La  0.0000  0.0000  0.0000  4 Ni 2.96, 1 Mg 3.20
Mg  0.2680  0.2680  0.0000  4 Ni 2.76
Ni  0.6487  0.6487  0.0000  4 Mg 2.76, 4 La 2.96

Formation energy from the elements: -139 meV/atom
Space-group type: I4mm, No. 107
D(E_F): 2.2 states/eV per cell



Number 1: total DFT energy (no corrections) -4.70 eV per atom, spin magnetization 0.000 μB per atom. Number 2: total DFT energy (no corrections) -2.38 eV per atom, spin magnetization 0.000 μB per atom. Number 3: total DFT energy (no corrections) -3.84 eV per atom, spin magnetization 0.000 μB per atom. Number 4: total DFT energy (no corrections) -2.01 eV per atom, spin magnetization 0.000 μB per atom. Number 5: total DFT energy (no corrections) -7.34 eV per atom, spin magnetization 0.001 μB per atom. Number 6: total DFT energy (no corrections) -4.24 eV per atom, spin magnetization 0.000 μB per atom.